{
  "formula": "KFe2HgB",
  "functional": "GGA-PBE",
  "state": "optimized geometry",
  "dos_at_fermi_per_ev_fu": 8.83,
  "final_energy_ev_per_fu": -11.887,
  "rho_g_cm3": 5.6,
  "e_form_ev_per_fu": 13.12,
  "lattice_angstrom": [[4.7542, 0.0000, 0.0000], [0.0000, 4.7542, 0.0000], [0.0000, 0.0000, 4.7480]],
  "species": ["K", "Fe", "Fe", "Hg", "B"],
  "fractional_positions": [[0.0000, 0.0000, 0.0000], [0.0000, 0.5000, 0.0000], [0.5000, 0.0000, 0.0000], [0.5000, 0.5000, 0.5000], [0.0000, 0.0000, 0.5000]]
}